(1)
SbTe2W, relaxed, DFT PBE; formation energy (no corrections) = 0.41 eV per atom
1.0
-1.690 2.338 6.752
1.690 -2.338 6.752
1.690 2.338 -6.752
Sb Te W
1 2 1
Cartesian
0.000 0.000 0.000
1.690 0.000 4.483
0.000 2.338 2.269
0.000 0.000 6.752



(2)
PrTmGaN3, relaxed, DFT PBE; formation energy (no corrections) = -0.98 eV per atom
1.0
7.271 0.000 0.000
0.000 3.437 0.000
-1.106 0.000 7.569
Pr Tm Ga N
2 2 2 6
Cartesian
1.095 0.859 1.443
5.069 2.578 6.126
1.669 2.578 6.439
4.495 0.859 1.130
0.119 0.859 4.576
6.045 2.578 2.994
0.014 0.859 6.500
0.689 2.578 3.740
2.819 2.578 1.085
3.346 0.859 6.485
5.476 0.859 3.830
6.151 2.578 1.070



(3)
RbAg2GeAs, relaxed, DFT PBE; formation energy from the elements = 1.60 eV/atom
1.0
5.453 0.000 0.000
0.000 5.453 0.000
0.000 0.000 5.774
Rb Ag Ge As
1 2 1 1
Cartesian
0.000 0.000 0.000
0.000 2.726 0.000
2.726 0.000 0.000
0.000 0.000 2.887
2.726 2.726 2.887



(4)
La2BeFe, relaxed, DFT PBE; formation energy from the elements = 0.51 eV/atom
1.0
4.835 0.000 0.000
0.000 3.461 0.000
-0.041 0.000 5.800
La Be Fe
2 1 1
Cartesian
0.000 0.000 0.000
2.397 1.730 2.900
-0.021 0.000 2.900
2.418 1.730 0.000



(5)
BiPIrSN, relaxed, DFT PBE; relative energy among the computed polymorphs = 181 meV per atom; formation energy (no corrections) = 0.03 eV per atom
1.0
3.596 0.000 0.000
-1.380 3.656 0.000
-0.304 -1.982 7.268
Bi P Ir S N
1 1 1 1 1
Cartesian
0.000 0.000 0.000
-0.038 -0.010 4.433
0.357 2.283 3.985
0.394 2.436 1.683
0.121 0.995 5.781



(6)
La5PrYHo2, relaxed, DFT PBE; formation energy from the elements = 0.13 eV/atom
1.0
2.763 -10.897 0.000
2.763 10.897 0.000
0.000 0.000 10.710
La Pr Y Ho
10 2 2 4
Cartesian
2.763 10.893 0.000
2.763 -10.893 5.355
2.763 8.237 8.034
2.763 6.070 0.642
2.763 6.088 4.734
2.763 0.011 2.678
2.763 -0.011 8.033
2.763 -6.070 5.997
2.763 -6.088 10.089
2.763 -8.237 2.679
2.763 4.700 8.042
2.763 -4.700 2.687
2.763 8.714 2.679
2.763 -8.714 8.034
2.763 2.458 5.383
2.763 2.444 10.682
2.763 -2.444 5.327
2.763 -2.458 0.028



(7)
TlRe2Ni, relaxed, DFT PBE; relative energy among the computed polymorphs = 259 meV per atom; formation energy from the elements = 0.78 eV/atom
1.0
0.000 3.164 3.164
3.164 0.000 3.164
3.164 3.164 0.000
Tl Re Ni
1 2 1
Cartesian
0.000 0.000 0.000
3.164 3.164 3.164
4.746 4.746 4.746
1.582 1.582 1.582



(8)
TbSmNi2As2, relaxed, DFT PBE; formation energy from the elements = -1.05 eV/atom
1.0
4.077 0.000 0.000
-2.039 3.531 0.000
0.000 0.000 7.883
Tb Sm Ni As
1 1 2 2
Cartesian
0.000 0.000 0.000
0.000 0.000 3.942
0.000 2.354 1.938
2.039 1.177 5.945
0.000 2.354 5.949
2.039 1.177 1.934



(9)
RbAlAg3, relaxed, DFT PBE; relative energy among the computed polymorphs = 1197 meV per atom; formation energy from the elements = 1.33 eV/atom
1.0
6.017 0.000 0.000
0.000 6.017 0.000
0.000 0.000 6.017
Rb Al Ag
1 1 3
Cartesian
0.000 0.000 0.000
3.009 3.009 3.009
0.000 0.000 3.009
0.000 3.009 0.000
3.009 0.000 0.000



(10)
Ca2CuSe, relaxed, DFT PBE; formation energy (no corrections) = -0.87 eV per atom
1.0
2.589 -2.592 0.000
2.589 2.592 0.000
0.000 0.000 6.966
Ca Cu Se
2 1 1
Cartesian
0.000 0.000 1.735
0.000 0.000 5.231
2.589 0.000 3.483
2.589 0.000 0.000



(11)
Pd3Se2S, relaxed, DFT PBE; relative energy among the computed polymorphs = 0 meV per atom; formation energy (no corrections) = -0.33 eV per atom
1.0
11.565 0.000 0.000
0.000 11.565 0.000
0.000 0.000 7.034
Pd Se S
24 16 8
Cartesian
0.518 1.515 0.000
1.259 7.042 1.759
1.259 7.042 5.276
1.515 11.047 3.517
1.617 3.226 3.517
2.557 4.166 0.000
3.226 9.949 0.000
4.166 9.008 3.517
4.267 5.264 3.517
4.524 1.259 1.759
4.524 1.259 5.276
5.264 7.298 0.000
6.301 4.267 0.000
7.042 10.306 1.759
7.042 10.306 5.276
7.298 6.301 3.517
7.399 2.557 3.517
8.339 1.617 0.000
9.008 7.399 0.000
9.949 8.339 3.517
10.050 0.518 3.517
10.306 4.524 1.759
10.306 4.524 5.276
11.047 10.050 0.000
1.324 9.508 1.562
1.324 9.508 5.473
2.057 1.324 1.956
2.057 1.324 5.079
3.726 7.107 1.956
3.726 7.107 5.079
4.459 3.726 1.562
4.459 3.726 5.473
7.107 7.839 1.562
7.107 7.839 5.473
7.839 4.459 1.956
7.839 4.459 5.079
9.508 10.241 1.956
9.508 10.241 5.079
10.241 2.057 1.562
10.241 2.057 5.473
1.094 4.689 1.759
1.094 4.689 5.276
4.689 10.471 1.759
4.689 10.471 5.276
6.877 1.094 1.759
6.877 1.094 5.276
10.471 6.877 1.759
10.471 6.877 5.276



(12)
Zn2CuP, relaxed, DFT PBE; formation energy from the elements = 0.16 eV/atom
1.0
2.738 0.000 0.000
0.000 2.738 0.000
0.000 0.000 7.679
Zn Cu P
2 1 1
Cartesian
0.000 0.000 0.000
1.369 1.369 2.024
0.000 0.000 3.837
1.369 1.369 5.505



Number 1: calculated volume 106.7 Å³ per cell. Number 2: calculated volume 189.2 Å³ per cell. Number 3: calculated volume 171.7 Å³ per cell. Number 4: calculated volume 97.1 Å³ per cell. Number 5: calculated volume 95.6 Å³ per cell. Number 6: calculated volume 644.9 Å³ per cell. Number 7: calculated volume 63.3 Å³ per cell. Number 8: calculated volume 113.5 Å³ per cell. Number 9: calculated volume 217.8 Å³ per cell. Number 10: calculated volume 93.5 Å³ per cell. Number 11: calculated volume 940.9 Å³ per cell. Number 12: calculated volume 57.6 Å³ per cell.